# GeTePd, optimized geometry, DFT PBE
# Volume, Å³/atom: 22.3
# Formation energy (no corrections), meV per atom: -132
data_GeTePd
_chemical_formula_sum 'Ge4 Te4 Pd4'
_space_group_name_H-M_alt 'I 4/m m m'
_space_group_IT_number 139
_space_group_name_Hall '-I 4 2'
_cell_length_a 3.138
_cell_length_b 3.138
_cell_length_c 27.126
_cell_angle_alpha 90.00
_cell_angle_beta 90.00
_cell_angle_gamma 90.00
loop_
_atom_site_label
_atom_site_type_symbol
_atom_site_fract_x
_atom_site_fract_y
_atom_site_fract_z
_atom_site_occupancy
Ge1 Ge 0.000 0.000 0.048 1
Te1 Te 0.000 0.000 0.180 1
Pd1 Pd 0.000 0.000 0.402 1